First-principles (PBE) data for an optimized crystal structure of BeIn2Hg, as listed in Alexandria via LeMat-Bulk.

Geometry as CIF:
```
data_BeIn2Hg
_chemical_formula_sum 'Be1 In2 Hg1'
_symmetry_space_group_name_H-M 'P 1'
_symmetry_Int_Tables_number 1
_symmetry_space_group_name_Hall 'P 1'
_cell_length_a 8.8247
_cell_length_b 8.8247
_cell_length_c 8.8247
_cell_angle_alpha 22.29
_cell_angle_beta 22.29
_cell_angle_gamma 22.29
loop_
_atom_site_label
_atom_site_fract_x
_atom_site_fract_y
_atom_site_fract_z
Hg1 0.7500 0.7500 0.7500
In1 0.9876 0.9876 0.9876
In2 0.5124 0.5124 0.5124
Be1 0.2500 0.2500 0.2500
```

First-principles (PBE) data for an optimized crystal structure of PmEr4Rh5, as listed in Alexandria via LeMat-Bulk.

Geometry as CIF:
```
data_PmEr4Rh5
_chemical_formula_sum 'Pm1 Er4 Rh5'
_symmetry_space_group_name_H-M 'P 1'
_symmetry_Int_Tables_number 1
_symmetry_space_group_name_Hall 'P 1'
_cell_length_a 3.3795
_cell_length_b 3.3795
_cell_length_c 17.4965
_cell_angle_alpha 90.00
_cell_angle_beta 90.00
_cell_angle_gamma 90.00
loop_
_atom_site_label
_atom_site_fract_x
_atom_site_fract_y
_atom_site_fract_z
Rh1 0.5000 0.5000 0.8918
Rh2 0.5000 0.5000 0.6967
Rh3 0.5000 0.5000 0.1082
Rh4 0.5000 0.5000 0.3033
Rh5 0.5000 0.5000 0.5000
Er1 0.0000 0.0000 0.5985
Er2 0.0000 0.0000 0.4015
Er3 0.0000 0.0000 0.2042
Er4 0.0000 0.0000 0.7958
Pm1 0.0000 0.0000 0.0000
```

First-principles (PBE) data for an optimized crystal structure of Sc2TiPd2, as listed in Alexandria via LeMat-Bulk.

Geometry as CIF:
```
data_Sc2TiPd2
_chemical_formula_sum 'Sc4 Ti2 Pd4'
_symmetry_space_group_name_H-M 'P 1'
_symmetry_Int_Tables_number 1
_symmetry_space_group_name_Hall 'P 1'
_cell_length_a 7.8798
_cell_length_b 7.8798
_cell_length_c 2.9962
_cell_angle_alpha 90.00
_cell_angle_beta 90.00
_cell_angle_gamma 90.00
loop_
_atom_site_label
_atom_site_fract_x
_atom_site_fract_y
_atom_site_fract_z
Sc1 0.8502 0.6498 0.0000
Sc2 0.1498 0.3502 0.0000
Sc3 0.6498 0.1498 0.0000
Sc4 0.3502 0.8502 0.0000
Pd1 0.3506 0.1494 0.5000
Pd2 0.6494 0.8506 0.5000
Pd3 0.8506 0.3506 0.5000
Pd4 0.1494 0.6494 0.5000
Ti1 0.0000 0.0000 0.0000
Ti2 0.5000 0.5000 0.0000
```

First-principles (PBE) data for an optimized crystal structure of Dy2UGa2Ru5, as listed in Alexandria via LeMat-Bulk.

Geometry as CIF:
```
data_Dy2UGa2Ru5
_chemical_formula_sum 'Dy4 U2 Ga4 Ru10'
_symmetry_space_group_name_H-M 'P 1'
_symmetry_Int_Tables_number 1
_symmetry_space_group_name_Hall 'P 1'
_cell_length_a 3.4991
_cell_length_b 10.0002
_cell_length_c 10.0002
_cell_angle_alpha 90.00
_cell_angle_beta 90.00
_cell_angle_gamma 90.00
loop_
_atom_site_label
_atom_site_fract_x
_atom_site_fract_y
_atom_site_fract_z
Dy1 0.0000 0.8319 0.6681
Dy2 0.0000 0.6681 0.1681
Dy3 0.0000 0.1681 0.3319
Dy4 0.0000 0.3319 0.8319
Ru1 0.5000 0.9309 0.1983
Ru2 0.5000 0.6983 0.4309
Ru3 0.5000 0.5000 0.0000
Ru4 0.5000 0.0000 0.5000
Ru5 0.5000 0.4309 0.3017
Ru6 0.5000 0.3017 0.5691
Ru7 0.5000 0.0691 0.8017
Ru8 0.5000 0.1983 0.0691
Ru9 0.5000 0.8017 0.9309
Ru10 0.5000 0.5691 0.6983
Ga1 0.0000 0.1281 0.6281
Ga2 0.0000 0.8719 0.3719
Ga3 0.0000 0.6281 0.8719
Ga4 0.0000 0.3719 0.1281
U1 0.0000 0.0000 0.0000
U2 0.0000 0.5000 0.5000
```

First-principles (PBE) data for an optimized crystal structure of PmHo2Au, as listed in Alexandria via LeMat-Bulk.

Geometry as CIF:
```
data_PmHo2Au
_chemical_formula_sum 'Pm2 Ho4 Au2'
_symmetry_space_group_name_H-M 'P 1'
_symmetry_Int_Tables_number 1
_symmetry_space_group_name_Hall 'P 1'
_cell_length_a 4.9409
_cell_length_b 6.4946
_cell_length_c 7.7746
_cell_angle_alpha 90.00
_cell_angle_beta 90.00
_cell_angle_gamma 112.38
loop_
_atom_site_label
_atom_site_fract_x
_atom_site_fract_y
_atom_site_fract_z
Au1 0.2043 0.4084 0.2500
Au2 0.7957 0.5916 0.7500
Ho1 0.3545 0.7089 0.5355
Ho2 0.3545 0.7089 0.9645
Ho3 0.6455 0.2911 0.0355
Ho4 0.6455 0.2911 0.4645
Pm1 0.0470 0.0940 0.7500
Pm2 0.9530 0.9060 0.2500
```

First-principles (PBE) data for an optimized crystal structure of HfZnSn2Ge, as listed in Alexandria via LeMat-Bulk.

Geometry as CIF:
```
data_HfZnSn2Ge
_chemical_formula_sum 'Hf1 Zn1 Sn2 Ge1'
_symmetry_space_group_name_H-M 'P 1'
_symmetry_Int_Tables_number 1
_symmetry_space_group_name_Hall 'P 1'
_cell_length_a 5.5534
_cell_length_b 5.1786
_cell_length_c 5.5534
_cell_angle_alpha 90.00
_cell_angle_beta 90.00
_cell_angle_gamma 90.00
loop_
_atom_site_label
_atom_site_fract_x
_atom_site_fract_y
_atom_site_fract_z
Ge1 0.0000 0.5000 0.0000
Sn1 0.5000 0.0000 0.0000
Sn2 0.0000 0.0000 0.5000
Zn1 0.5000 0.5000 0.5000
Hf1 0.0000 0.0000 0.0000
```

Number 1: M_tot 0.00 μB/f.u., formation energy 0.303 eV per atom. Number 2: M_tot 0.00 μB/f.u., formation energy -0.876 eV per atom. Number 3: M_tot 1.75 μB/f.u., formation energy -0.448 eV per atom. Number 4: M_tot 0.00 μB/f.u., formation energy -0.477 eV per atom. Number 5: M_tot 0.00 μB/f.u., formation energy -0.412 eV per atom. Number 6: M_tot 0.00 μB/f.u., formation energy 0.476 eV per atom.